# 1
A relaxed Ac3MnTl4Se8 crystal. Source: Alexandria, functional PBE.

Values from the calculation:
Uncorrected energy ... -4.781 eV/atom
Volume ... 32.3 A^3/atom

Structure (POSCAR):
```
Ac3MnTl4Se8
1.0
4.4174 2.5504 7.6346
-4.4174 2.5504 7.6346
0.0000 -5.1007 7.6346
Ac Mn Tl Se
3 1 4 8
direct
0.0000 0.5000 0.5000 Ac
0.5000 0.0000 0.5000 Ac
0.5000 0.5000 0.0000 Ac
0.0000 0.0000 0.0000 Mn
0.0000 0.0000 0.5000 Tl
0.0000 0.5000 0.0000 Tl
0.5000 0.0000 0.0000 Tl
0.5000 0.5000 0.5000 Tl
0.2203 0.2203 0.7674 Se
0.2203 0.7674 0.2203 Se
0.2326 0.7797 0.7797 Se
0.2583 0.2583 0.2583 Se
0.7417 0.7417 0.7417 Se
0.7674 0.2203 0.2203 Se
0.7797 0.2326 0.7797 Se
0.7797 0.7797 0.2326 Se
```

# 2
A relaxed LiY2NbSe crystal. Source: Alexandria, functional PBE.

Values from the calculation:
Uncorrected energy ... -5.291 eV/atom
Volume ... 23.1 A^3/atom

Structure (POSCAR):
```
LiY2NbSe
1.0
5.3202 0.0000 0.0000
0.0000 5.3202 0.0000
0.0000 0.0000 4.0854
Li Y Nb Se
1 2 1 1
direct
0.0000 0.0000 0.0000 Li
0.0000 0.5000 0.0000 Y
0.5000 0.0000 0.0000 Y
0.5000 0.5000 0.5000 Nb
0.0000 0.0000 0.5000 Se
```

# 3
A relaxed CaWN2 crystal. Source: Alexandria, functional PBE.

Values from the calculation:
E above lowest polymorph ... 2.08 eV/f.u.
Volume ... 11.0 A^3/atom

Structure (POSCAR):
```
CaWN2
1.0
2.7470 0.0000 0.0000
0.0000 2.7470 0.0000
0.0000 0.0000 5.8119
Ca W N
1 1 2
direct
0.0000 0.0000 0.0000 Ca
0.0000 0.0000 0.5000 W
0.5000 0.5000 0.2907 N
0.5000 0.5000 0.7093 N
```

# 4
A relaxed PrSm2Ho4Tm crystal. Source: Alexandria, functional PBE.

Values from the calculation:
Volume ... 33.2 A^3/atom
Formation enthalpy at 0 K ... 423 meV/atom

Structure (POSCAR):
```
PrSm2Ho4Tm
1.0
6.8096 -6.6266 0.0000
6.8096 6.6266 0.0000
-3.3941 0.0000 5.8924
Pr Sm Ho Tm
2 4 8 2
direct
0.0000 0.5000 0.0000 Pr
0.5000 0.0000 0.5000 Pr
0.0000 0.0000 0.0000 Sm
0.0000 0.0000 0.5000 Sm
0.0000 0.5000 0.5000 Sm
0.5000 0.0000 0.0000 Sm
0.2545 0.2541 0.0057 Ho
0.2541 0.2545 0.5057 Ho
0.2548 0.7453 0.5005 Ho
0.2547 0.7452 0.9995 Ho
0.7453 0.2548 0.0005 Ho
0.7452 0.2547 0.4995 Ho
0.7459 0.7455 0.4943 Ho
0.7455 0.7459 0.9943 Ho
0.5000 0.5000 0.0000 Tm
0.5000 0.5000 0.5000 Tm
```

# 5
A relaxed ErNpPa crystal. Source: Alexandria, functional PBE.

Values from the calculation:
Volume ... 26.4 A^3/atom
Formation enthalpy at 0 K ... 587 meV/atom

Structure (POSCAR):
```
ErNpPa
1.0
0.0000 6.2359 6.4834
3.9193 0.0000 6.4834
3.9193 6.2359 0.0000
Er Np Pa
4 4 4
direct
0.0000 0.0000 0.0000 Er
0.0000 0.0000 0.5000 Er
0.0000 0.5000 0.0000 Er
0.5000 0.0000 0.0000 Er
0.2357 0.2357 0.5143 Np
0.4857 0.4857 0.7643 Np
0.5143 0.5143 0.2357 Np
0.7643 0.7643 0.4857 Np
0.2206 0.5294 0.2206 Pa
0.4706 0.7794 0.4706 Pa
0.5294 0.2206 0.5294 Pa
0.7794 0.4706 0.7794 Pa
```

# 6
A relaxed TlCd2HgPd crystal. Source: Alexandria, functional PBE.

Values from the calculation:
E above lowest polymorph ... 0.00 eV/f.u.
Volume ... 29.7 A^3/atom
Formation enthalpy at 0 K ... -27 meV/atom

Structure (POSCAR):
```
TlCd2HgPd
1.0
5.3007 0.0000 0.0000
0.0000 5.3007 0.0000
0.0000 0.0000 5.2776
Tl Cd Hg Pd
1 2 1 1
direct
0.0000 0.0000 0.0000 Tl
0.0000 0.5000 0.5000 Cd
0.5000 0.0000 0.5000 Cd
0.5000 0.5000 0.0000 Hg
0.0000 0.0000 0.5000 Pd
```

no.,calculated density (g cm⁻³)
1,7.031
2,5.121
3,9.538
4,7.933
5,13.315
6,8.244